[1]
! PBE CeTmCu2Ge2, relaxed; values from VASP
&SYSTEM
  ibrav = 0, nat = 6, ntyp = 4
/
ATOMIC_SPECIES
Ce 140.12 Ce.upf
Tm 168.93 Tm.upf
Cu 63.55 Cu.upf
Ge 72.64 Ge.upf
ATOMIC_POSITIONS angstrom
Ce 0.000 0.000 0.000
Tm 0.000 0.000 3.762
Cu 0.000 2.450 2.043
Cu 2.121 1.225 5.481
Ge 0.000 2.450 5.591
Ge 2.121 1.225 1.933
CELL_PARAMETERS angstrom
4.243 0.000 0.000
-2.121 3.675 0.000
0.000 0.000 7.524
! Magnetic moment, Bohr magnetons per cell: 0.9
! Space-group type: P-3m1 (164)
! E_form, kJ/mol of atoms: -61.13
! DFT total energy, eV/atom: -5.2723
! Crystal system: trigonal

---

[2]
! PBE CeYCuGe, relaxed; values from VASP
&SYSTEM
  ibrav = 0, nat = 4, ntyp = 4
/
ATOMIC_SPECIES
Ce 140.12 Ce.upf
Y 88.91 Y.upf
Cu 63.55 Cu.upf
Ge 72.64 Ge.upf
ATOMIC_POSITIONS angstrom
Ce 0.000 0.000 0.000
Y 3.564 3.564 3.564
Cu 1.782 1.782 1.782
Ge 5.347 5.347 5.347
CELL_PARAMETERS angstrom
0.000 3.564 3.564
3.564 0.000 3.564
3.564 3.564 0.000
! Magnetic moment, Bohr magnetons per cell: 1.1
! Space-group type: F-43m (216)
! E_form, kJ/mol of atoms: -40.32
! DFT total energy, eV/atom: -5.6957
! Crystal system: cubic

---

> Which value of E_form does entry 1 give?

-61.13 kJ/mol of atoms

---

> The highest magnetic moment belongs to which entry?

CeYCuGe

---

> magnetic moment of number 1 (CeTmCu2Ge2)?

0.9 Bohr magnetons per cell